The following is a DFT calculation (PBEsol) of Be2RePb after structural relaxation.

## Properties
M_tot: 0.00 μB per formula unit
electronic total energy: -5.80 eV/atom
N(E_F): 2.767 states/eV/cell
energy of formation from the pure elements: 0.529 eV per atom

Unit cell a=3.0208 b=3.3824 c=5.9255 alpha=90.00 beta=90.03 gamma=90.00
Element x y z (fractional)
Be 0.0000 0.0000 0.0000
Be 0.0004 0.5000 0.2095
Re 0.4999 0.5000 0.8996
Pb 0.9983 0.0000 0.5580